Compound: TlFeSb
Source: Alexandria via LeMat-Bulk
Functional: PBE-GGA
Structure: optimized geometry

Calculated values
Raw total energy ... -4.590 eV per atom
Formation energy without anion corrections ... 0.3938 eV/atom

Cell and atoms, written as CIF:
```
data_TlFeSb
_cell_length_a 6.437
_cell_length_b 6.437
_cell_length_c 6.437
_cell_angle_alpha 90.00
_cell_angle_beta 90.00
_cell_angle_gamma 90.00
_space_group_name_H-M_alt 'F -4 3 m'
_space_group_IT_number 216
_space_group_name_Hall 'F -4 2 3'
loop_
_atom_site_label
_atom_site_type_symbol
_atom_site_fract_x
_atom_site_fract_y
_atom_site_fract_z
Tl1 Tl 0.000 0.000 0.000
Fe1 Fe 0.250 0.250 0.250
Sb1 Sb 0.000 0.000 0.500
```